A plane-wave DFT calculation with PBE was carried out for a geometry-optimized LiTbZnF6 structure.

Lattice parameters (Å, degrees): 5.556 5.556 8.894 90.00 90.00 120.00
Fractional coordinates of all 18 atoms:
Li (0.000, 0.000, 0.000)
Li (0.000, 0.000, 0.500)
Tb (0.333, 0.667, 0.250)
Tb (0.667, 0.333, 0.750)
Zn (0.667, 0.333, 0.250)
Zn (0.333, 0.667, 0.750)
F (0.674, 0.654, 0.127)
F (0.980, 0.326, 0.127)
F (0.326, 0.980, 0.627)
F (0.020, 0.674, 0.873)
F (0.346, 0.326, 0.373)
F (0.980, 0.654, 0.373)
F (0.654, 0.980, 0.873)
F (0.674, 0.020, 0.373)
F (0.020, 0.346, 0.627)
F (0.346, 0.020, 0.127)
F (0.654, 0.674, 0.627)
F (0.326, 0.346, 0.873)

electronic total energy	-5.281	eV per atom
total magnetic moment	0.000	μB/f.u.
formation energy without anion corrections	-3164.5	meV per atom